Material: Tb8Ga2Ni
Method: DFT, PBE-GGA
State: relaxed Values from VASP.

symmetry = No. 12
uncorrected energy = -51.816 eV/cell
energy relative to the elements = -0.27 eV/atom
M_tot = 0.00 μB/cell

Geometry as Quantum ESPRESSO input:
```
&SYSTEM
  ibrav = 0, nat = 11, ntyp = 3
/
ATOMIC_SPECIES
Tb 158.93 Tb.upf
Ga 69.72 Ga.upf
Ni 58.69 Ni.upf
ATOMIC_POSITIONS crystal
Tb 0.409 0.540 0.817
Tb 0.210 0.315 0.419
Tb 0.650 0.980 0.301
Tb 0.790 0.685 0.581
Tb 0.021 0.779 0.042
Tb 0.979 0.221 0.958
Ga 0.812 0.243 0.624
Ni 0.500 0.000 0.000
Tb 0.591 0.460 0.183
Tb 0.350 0.020 0.699
Ga 0.188 0.757 0.376
CELL_PARAMETERS angstrom
-4.354 2.101 -0.958
-2.495 -5.909 -1.621
0.374 -0.708 9.425
```